Here is Ga3SnPd6 after structural relaxation from the Alexandria database. Energies are from GGA-PBE.

Cell lengths 7.580, 7.580, 6.126 Å; angles 90.00, 90.00, 108.08 degrees
Fractional coordinates of all 20 atoms:
Ga: 0.055 0.945 0.500
Ga: 0.220 0.458 0.621
Ga: 0.458 0.220 0.121
Ga: 0.542 0.780 0.621
Ga: 0.780 0.542 0.121
Ga: 0.945 0.055 0.000
Sn: 0.282 0.718 0.206
Sn: 0.718 0.282 0.706
Pd: 0.030 0.427 0.960
Pd: 0.170 0.249 0.292
Pd: 0.219 0.781 0.778
Pd: 0.249 0.170 0.792
Pd: 0.427 0.030 0.460
Pd: 0.463 0.537 0.955
Pd: 0.537 0.463 0.455
Pd: 0.573 0.970 0.960
Pd: 0.751 0.830 0.292
Pd: 0.781 0.219 0.278
Pd: 0.830 0.751 0.792
Pd: 0.970 0.573 0.460

ΔH_f (0 K) in kJ/mol of atoms: -51
DOS at the Fermi energy in states/eV per cell: 6.8
Symmetry: Cmc2_1 (36)